Entry 1:
La3Th5Se8: optimized geometry, PBE.

Geometry as POSCAR:
```
La3Th5Se8
1.0
7.325 0.000 4.196
2.461 6.899 4.196
-0.017 -0.012 8.521
Se La Th
8 3 5
Direct
0.750 0.252 0.248 Se
0.750 0.750 0.248 Se
0.252 0.750 0.248 Se
0.250 0.250 0.752 Se
0.748 0.250 0.752 Se
0.250 0.748 0.752 Se
0.251 0.251 0.246 Se
0.749 0.749 0.754 Se
0.000 0.000 0.500 La
0.000 0.500 0.500 La
0.500 0.000 0.500 La
0.500 0.500 0.000 Th
0.000 0.500 0.000 Th
0.500 0.000 0.000 Th
0.500 0.500 0.500 Th
0.000 0.000 0.000 Th
```

Values from the calculation:
* space-group type: R-3m (166)
* energy relative to the elements, uncorrected: -1.71 eV/atom
* DFT total energy: -6.6912 eV per atom
* total magnetization: 0.0000 μB/atom


Entry 2:
YTlTe2: optimized geometry, PBE.

Geometry as POSCAR:
```
YTlTe2
1.0
-0.819 -2.821 -3.474
4.468 -0.316 -0.797
0.354 -4.980 3.959
Tl Y Te
1 1 2
Direct
0.500 0.500 0.000 Tl
0.000 0.000 0.500 Y
0.500 0.500 0.500 Te
0.000 0.000 0.000 Te
```

Values from the calculation:
* space-group type: P4/mmm (123)
* energy relative to the elements, uncorrected: -0.85 eV/atom
* DFT total energy: -4.6328 eV per atom
* total magnetization: 0.0000 μB/atom


Entry 3:
LiNiSe2: optimized geometry, PBE.

Geometry as POSCAR:
```
LiNiSe2
1.0
1.008 7.483 1.385
3.939 5.954 2.823
3.809 6.627 -0.716
Li Se Ni
1 2 1
Direct
0.000 0.000 0.000 Li
0.110 0.110 0.110 Se
0.890 0.890 0.890 Se
0.500 0.500 0.500 Ni
```

Values from the calculation:
* space-group type: R-3m (166)
* energy relative to the elements, uncorrected: -0.39 eV/atom
* DFT total energy: -4.0594 eV per atom
* total magnetization: 0.0000 μB/atom


> What is the formula in the second record?

YTlTe2


> Number 1 is which compound?

La3Th5Se8